[1]
# LiTl2SbH

A geometry-optimized LiTl2SbH structure (PBE, Alexandria via LeMat-Bulk).

```
data_LiTl2SbH
_cell_length_a 5.0771
_cell_length_b 5.0771
_cell_length_c 4.3670
_cell_angle_alpha 90.00
_cell_angle_beta 90.00
_cell_angle_gamma 90.00
_space_group_name_H-M_alt 'P 1'
_space_group_IT_number 1
loop_
_space_group_symop_operation_xyz
'x,y,z'
loop_
_atom_site_label
_atom_site_type_symbol
_atom_site_fract_x
_atom_site_fract_y
_atom_site_fract_z
_atom_site_occupancy
Sb1 Sb 0.5000 0.5000 0.5000 1
Tl1 Tl 0.5000 0.0000 0.0000 1
Tl2 Tl 0.0000 0.5000 0.0000 1
H1 H 0.0000 0.0000 0.0000 1
Li1 Li 0.0000 0.0000 0.5000 1
```

Space-group type ... No. 123
Size of the total moment ... 0.00 μB per cell

[2]
# Pm5Pr2NdDy

A geometry-optimized Pm5Pr2NdDy structure (PBE, Alexandria via LeMat-Bulk).

```
data_Pm5Pr2NdDy
_cell_length_a 8.8382
_cell_length_b 8.8382
_cell_length_c 10.1888
_cell_angle_alpha 115.70
_cell_angle_beta 115.70
_cell_angle_gamma 90.00
_space_group_name_H-M_alt 'P 1'
_space_group_IT_number 1
loop_
_space_group_symop_operation_xyz
'x,y,z'
loop_
_atom_site_label
_atom_site_type_symbol
_atom_site_fract_x
_atom_site_fract_y
_atom_site_fract_z
_atom_site_occupancy
Dy1 Dy 0.7500 0.2500 0.5000 1
Dy2 Dy 0.2500 0.7500 0.5000 1
Pm1 Pm 0.3510 0.8510 0.2798 1
Pm2 Pm 0.6490 0.1490 0.7202 1
Pm3 Pm 0.0711 0.5711 0.7202 1
Pm4 Pm 0.8510 0.9289 0.2798 1
Pm5 Pm 0.5000 0.5000 0.0000 1
Pm6 Pm 0.5711 0.6490 0.7202 1
Pm7 Pm 0.1490 0.0711 0.7202 1
Pm8 Pm 0.9289 0.4289 0.2798 1
Pm9 Pm 0.0000 0.0000 0.0000 1
Pm10 Pm 0.4289 0.3510 0.2798 1
Nd1 Nd 0.7500 0.7500 0.5000 1
Nd2 Nd 0.2500 0.2500 0.5000 1
Pr1 Pr 0.3812 0.8812 0.0000 1
Pr2 Pr 0.6188 0.1188 0.0000 1
Pr3 Pr 0.8812 0.6188 0.0000 1
Pr4 Pr 0.1188 0.3812 0.0000 1
```

Space-group type ... No. 140
Size of the total moment ... 0.00 μB per cell

[3]
# Ta3Ti2Mo6

A geometry-optimized Ta3Ti2Mo6 structure (PBE, Alexandria via LeMat-Bulk).

```
data_Ta3Ti2Mo6
_cell_length_a 2.8583
_cell_length_b 8.4477
_cell_length_c 8.4477
_cell_angle_alpha 68.77
_cell_angle_beta 90.00
_cell_angle_gamma 90.00
_space_group_name_H-M_alt 'P 1'
_space_group_IT_number 1
loop_
_space_group_symop_operation_xyz
'x,y,z'
loop_
_atom_site_label
_atom_site_type_symbol
_atom_site_fract_x
_atom_site_fract_y
_atom_site_fract_z
_atom_site_occupancy
Ti1 Ti 0.0000 0.2515 0.7485 1
Ti2 Ti 0.0000 0.7485 0.2515 1
Ta1 Ta 0.0000 0.8023 0.8023 1
Ta2 Ta 0.5000 0.0000 0.0000 1
Ta3 Ta 0.0000 0.1977 0.1977 1
Mo1 Mo 0.5000 0.4220 0.9042 1
Mo2 Mo 0.5000 0.5780 0.0958 1
Mo3 Mo 0.5000 0.9042 0.4220 1
Mo4 Mo 0.5000 0.4018 0.4018 1
Mo5 Mo 0.5000 0.0958 0.5780 1
Mo6 Mo 0.5000 0.5982 0.5982 1
```

Space-group type ... No. 65
Size of the total moment ... 0.00 μB per cell

[4]
# Na2TiVSe4

A geometry-optimized Na2TiVSe4 structure (PBE, Alexandria via LeMat-Bulk).

```
data_Na2TiVSe4
_cell_length_a 3.7898
_cell_length_b 6.4610
_cell_length_c 7.3137
_cell_angle_alpha 107.43
_cell_angle_beta 90.00
_cell_angle_gamma 90.00
_space_group_name_H-M_alt 'P 1'
_space_group_IT_number 1
loop_
_space_group_symop_operation_xyz
'x,y,z'
loop_
_atom_site_label
_atom_site_type_symbol
_atom_site_fract_x
_atom_site_fract_y
_atom_site_fract_z
_atom_site_occupancy
Se1 Se 0.5000 0.7624 0.7894 1
Se2 Se 0.5000 0.2376 0.2106 1
Se3 Se 0.0000 0.2641 0.7919 1
Se4 Se 0.0000 0.7359 0.2081 1
Ti1 Ti 0.0000 0.0000 0.0000 1
Na1 Na 0.0000 0.5000 0.5000 1
Na2 Na 0.5000 0.0000 0.5000 1
V1 V 0.5000 0.5000 0.0000 1
```

Formation energy from raw total energies ... -8.22 eV per formula unit
Space-group type ... No. 10
Size of the total moment ... 2.97 μB per cell

[5]
# HoCdSi

A geometry-optimized HoCdSi structure (PBE, Alexandria via LeMat-Bulk).

```
data_HoCdSi
_cell_length_a 3.7964
_cell_length_b 4.1780
_cell_length_c 8.5520
_cell_angle_alpha 75.86
_cell_angle_beta 90.00
_cell_angle_gamma 90.00
_space_group_name_H-M_alt 'P 1'
_space_group_IT_number 1
loop_
_space_group_symop_operation_xyz
'x,y,z'
loop_
_atom_site_label
_atom_site_type_symbol
_atom_site_fract_x
_atom_site_fract_y
_atom_site_fract_z
_atom_site_occupancy
Cd1 Cd 0.7500 0.2864 0.4273 1
Cd2 Cd 0.2500 0.7136 0.5727 1
Ho1 Ho 0.7500 0.0893 0.8214 1
Ho2 Ho 0.2500 0.9107 0.1786 1
Si1 Si 0.2500 0.5455 0.9090 1
Si2 Si 0.7500 0.4545 0.0910 1
```

Formation energy from raw total energies ... -1.45 eV per formula unit
Space-group type ... No. 63
Size of the total moment ... 0.00 μB per cell

[6]
# Dy6Tl2Sn

A geometry-optimized Dy6Tl2Sn structure (PBE, Alexandria via LeMat-Bulk).

```
data_Dy6Tl2Sn
_cell_length_a 5.1560
_cell_length_b 7.3138
_cell_length_c 8.9454
_cell_angle_alpha 114.13
_cell_angle_beta 106.77
_cell_angle_gamma 90.00
_space_group_name_H-M_alt 'P 1'
_space_group_IT_number 1
loop_
_space_group_symop_operation_xyz
'x,y,z'
loop_
_atom_site_label
_atom_site_type_symbol
_atom_site_fract_x
_atom_site_fract_y
_atom_site_fract_z
_atom_site_occupancy
Tl1 Tl 0.3338 0.3335 0.6670 1
Tl2 Tl 0.6662 0.6665 0.3330 1
Dy1 Dy 0.8334 0.5831 0.6664 1
Dy2 Dy 0.1666 0.9167 0.3336 1
Dy3 Dy 0.1666 0.4169 0.3336 1
Dy4 Dy 0.5000 0.2507 0.0000 1
Dy5 Dy 0.8334 0.0833 0.6664 1
Dy6 Dy 0.5000 0.7493 0.0000 1
Sn1 Sn 0.0000 0.0000 0.0000 1
```

Space-group type ... No. 71
Size of the total moment ... 0.00 μB per cell

no.,final energy (eV/atom)
1,-2.810
2,-4.479
3,-10.226
4,-5.226
5,-4.120
6,-4.200